VASP calculation (PBE+U) on an optimized crystal structure of Ba2Mg2Tl2W3O10.

Cell lengths 3.984, 4.179, 19.333 Å; angles 96.16, 95.88, 90.12 degrees
Fractional positions:
Ba: 0.000 0.000 0.000
Ba: 0.321 0.321 0.638
Mg: 0.131 0.165 0.224
Mg: 0.228 0.262 0.414
Tl: 0.436 0.338 0.875
Tl: 0.881 0.782 0.763
W: 0.585 0.628 0.152
W: 0.590 0.807 0.319
W: 0.754 0.795 0.486
O: 0.077 0.923 0.319
O: 0.096 0.626 0.177
O: 0.239 0.768 0.461
O: 0.376 0.157 0.754
O: 0.510 0.337 0.319
O: 0.526 0.590 0.051
O: 0.607 0.138 0.171
O: 0.756 0.286 0.467
O: 0.796 0.858 0.588
O: 0.938 0.722 0.884

Summary:
The total magnetization comes out at 6.01 Bohr magnetons per cell. The space group is P1 (1). The calculation puts the calculated total energy at -6.0474 eV/atom. The calculation puts the density of states at the Fermi level at 0.495 states/eV/f.u. Its volume is 16.8 Å³/atom. Its mass density is 7.5 Mg/m³.